# NaBeNi, relaxed, DFT PBE-GGA
data_NaBeNi
_cell_length_a 3.258
_cell_length_b 2.646
_cell_length_c 10.268
_cell_angle_alpha 90.00
_cell_angle_beta 90.00
_cell_angle_gamma 90.00
_symmetry_space_group_name_H-M 'P 1'
_symmetry_Int_Tables_number 1
loop_
_symmetry_equiv_pos_as_xyz
'x,y,z'
loop_
_atom_site_label
_atom_site_type_symbol
_atom_site_fract_x
_atom_site_fract_y
_atom_site_fract_z
Ni1 Ni 0.000 0.000 0.399
Ni2 Ni 0.500 0.500 0.899
Be1 Be 0.000 0.000 0.854
Be2 Be 0.500 0.500 0.354
Na1 Na 0.000 0.000 0.124
Na2 Na 0.500 0.500 0.624
# E above lowest polymorph (eV/atom): 0.0312
# Energy of formation (eV per atom): 0.13
# Raw total energy (eV for the cell shown): -20.9

# KAgAu2, relaxed, DFT PBE-GGA
data_KAgAu2
_cell_length_a 8.320
_cell_length_b 5.501
_cell_length_c 2.926
_cell_angle_alpha 89.86
_cell_angle_beta 69.61
_cell_angle_gamma 131.57
_symmetry_space_group_name_H-M 'P 1'
_symmetry_Int_Tables_number 1
loop_
_symmetry_equiv_pos_as_xyz
'x,y,z'
loop_
_atom_site_label
_atom_site_type_symbol
_atom_site_fract_x
_atom_site_fract_y
_atom_site_fract_z
Ag1 Ag 0.500 0.500 0.000
Au1 Au 0.000 0.000 0.000
Au2 Au 0.500 0.000 0.500
K1 K 0.000 0.500 0.500
# E above lowest polymorph (eV/atom): 0.1088
# Energy of formation (eV per atom): 0.02
# Raw total energy (eV for the cell shown): -10.4

# KMg2TaIn, relaxed, DFT PBE-GGA
data_KMg2TaIn
_cell_length_a 5.228
_cell_length_b 5.216
_cell_length_c 5.228
_cell_angle_alpha 90.00
_cell_angle_beta 90.00
_cell_angle_gamma 90.00
_symmetry_space_group_name_H-M 'P 1'
_symmetry_Int_Tables_number 1
loop_
_symmetry_equiv_pos_as_xyz
'x,y,z'
loop_
_atom_site_label
_atom_site_type_symbol
_atom_site_fract_x
_atom_site_fract_y
_atom_site_fract_z
K1 K 0.000 0.000 0.000
In1 In 0.500 0.500 0.500
Mg1 Mg 0.000 0.000 0.500
Mg2 Mg 0.500 0.000 0.000
Ta1 Ta 0.000 0.500 0.000
# Energy of formation (eV per atom): 1.92
# Raw total energy (eV for the cell shown): -9.3

# Ac4Pm5Tm2, relaxed, DFT PBE-GGA
data_Ac4Pm5Tm2
_cell_length_a 5.337
_cell_length_b 8.285
_cell_length_c 11.260
_cell_angle_alpha 121.40
_cell_angle_beta 103.71
_cell_angle_gamma 90.00
_symmetry_space_group_name_H-M 'P 1'
_symmetry_Int_Tables_number 1
loop_
_symmetry_equiv_pos_as_xyz
'x,y,z'
loop_
_atom_site_label
_atom_site_type_symbol
_atom_site_fract_x
_atom_site_fract_y
_atom_site_fract_z
Ac1 Ac 0.318 0.543 0.636
Ac2 Ac 0.043 0.358 0.087
Ac3 Ac 0.682 0.457 0.364
Ac4 Ac 0.957 0.642 0.913
Pm1 Pm 0.774 0.172 0.547
Pm2 Pm 0.226 0.828 0.453
Pm3 Pm 0.862 0.915 0.724
Pm4 Pm 0.500 0.000 0.000
Pm5 Pm 0.138 0.085 0.276
Tm1 Tm 0.408 0.265 0.816
Tm2 Tm 0.592 0.735 0.184
# Energy of formation (eV per atom): 0.05
# Raw total energy (eV for the cell shown): -48.6